VASP calculation (SCAN) on a PBEsol-optimized structure of CrCoNi2.

Cell: 4.8512 7.2100 2.4088 Å, 90.00 90.00 90.00°
Space group Cmmm (No. 65)
Unique sites:
Cr (0.0000, 0.0000, 0.0000)
Co (0.0000, 0.5000, 0.0000)
Ni (0.2500, 0.2500, 0.5000)

Computed properties:
The calculation puts the formation energy at 0.3 eV per formula unit. For the density of states at the Fermi level, the calculation gives 0.950 states/eV/atom. Its magnetic moment is 8.94 μB/cell.